Run one
DFT (PBE) results for an optimized crystal structure of SmTm2Pd2.

It has space group P2_1/m (No. 11), with a = 5.215 Å, b = 4.738 Å, c = 10.411 Å, α = 90.00°, β = 96.29° and γ = 90.00°. Symmetry generates all atoms from Sm at (0.192, 0.250, 0.229), Tm at (0.248, 0.750, 0.496), Tm at (0.330, 0.250, 0.891), Pd at (0.158, 0.750, 0.022) and Pd at (0.278, 0.250, 0.626).

As for the density of states at the Fermi level: 9.81 states/eV/cell. Its crystal system is monoclinic.

---

Run two
DFT (PBE) results for an optimized crystal structure of SmTm2Pd2.

It has space group P4/mbm (No. 127), with a = 7.838 Å, b = 7.838 Å, c = 3.871 Å, α = 90.00°, β = 90.00° and γ = 90.00°. Symmetry generates all atoms from Sm at (0.000, 0.000, 0.000), Tm at (0.162, 0.338, 0.500) and Pd at (0.132, 0.632, 0.000).

As for the density of states at the Fermi level: 9.63 states/eV/cell. Its crystal system is tetragonal.

---

Last place for stability: run one

---

Run one
DFT (PBE) results for an optimized crystal structure of SmTmZnPd.

It has space group P4mm (No. 99), with a = 3.567 Å, b = 3.567 Å, c = 7.028 Å, α = 90.00°, β = 90.00° and γ = 90.00°. Symmetry generates all atoms from Sm at (0.000, 0.000, 0.000), Tm at (0.000, 0.000, 0.491), Zn at (0.500, 0.500, 0.731) and Pd at (0.500, 0.500, 0.269).

As for the density of states at the Fermi level: 2.93 states/eV/cell. Its crystal system is tetragonal.

---

Run two
DFT (PBE) results for an optimized crystal structure of SmTmZnPd.

It has space group F-43m (No. 216), with a = 7.106 Å, b = 7.106 Å, c = 7.106 Å, α = 90.00°, β = 90.00° and γ = 90.00°. Symmetry generates all atoms from Sm at (0.000, 0.000, 0.000), Tm at (0.000, 0.000, 0.500), Zn at (0.250, 0.250, 0.250) and Pd at (0.250, 0.250, 0.750).

As for the density of states at the Fermi level: 10.28 states/eV/cell. Its crystal system is cubic.

---

Last place for stability: run two

---

Run one
DFT (PBE) results for an optimized crystal structure of SmYPd.

It has space group Pmma (No. 51), with a = 15.168 Å, b = 3.835 Å, c = 8.248 Å, α = 90.00°, β = 90.00° and γ = 90.00°. Symmetry generates all atoms from Sm at (0.055, 0.000, 0.198), Sm at (0.250, 0.000, 0.873), Y at (0.110, 0.500, 0.578), Y at (0.250, 0.500, 0.239), Pd at (0.095, 0.500, 0.931) and Pd at (0.250, 0.000, 0.504).

As for the density of states at the Fermi level: 19.19 states/eV/cell. Its crystal system is orthorhombic.

---

Run two
DFT (PBE) results for an optimized crystal structure of SmYPd.

It has space group F-43m (No. 216), with a = 6.996 Å, b = 6.996 Å, c = 6.996 Å, α = 90.00°, β = 90.00° and γ = 90.00°. Symmetry generates all atoms from Sm at (0.000, 0.000, 0.000), Y at (0.000, 0.000, 0.500) and Pd at (0.250, 0.250, 0.750).

As for the density of states at the Fermi level: 12.31 states/eV/cell. Its crystal system is cubic.

---

Run three
DFT (PBE) results for an optimized crystal structure of SmYPd.

It has space group C2/m (No. 12), with a = 12.884 Å, b = 3.588 Å, c = 7.204 Å, α = 90.00°, β = 106.42° and γ = 90.00°. Symmetry generates all atoms from Sm at (0.138, 0.000, 0.068), Y at (0.137, 0.000, 0.568) and Pd at (0.002, 0.500, 0.740).

As for the density of states at the Fermi level: 13.20 states/eV/cell. Its crystal system is monoclinic.

---

Run four
DFT (PBE) results for an optimized crystal structure of SmYPd.

It has space group R3m (No. 160, hexagonal axes), with a = 3.7979 Å, b = 3.7979 Å, c = 20.6219 Å, α = 90.00°, β = 90.00° and γ = 120.00°. Symmetry generates all atoms from Sm at (0.0000, 0.0000, 0.0000), Y at (0.0000, 0.0000, 0.1840) and Pd at (0.0000, 0.0000, 0.7612).

As for the density of states at the Fermi level: 11.45 states/eV/cell. Its crystal system is trigonal.

---

Last place for stability: run four

---

Run one
DFT (PBE) results for an optimized crystal structure of SmZn3Pd3.

It has space group Pm-3n (No. 223), with a = 6.783 Å, b = 6.783 Å, c = 6.783 Å, α = 90.00°, β = 90.00° and γ = 90.00°. Symmetry generates all atoms from Sm at (0.000, 0.000, 0.000), Zn at (0.000, 0.250, 0.500) and Pd at (0.000, 0.500, 0.250).

As for the density of states at the Fermi level: 5.84 states/eV/cell. Its crystal system is cubic.

---

Run two
DFT (PBE) results for an optimized crystal structure of SmZn3Pd3.

It has space group Fm-3m (No. 225), with a = 11.756 Å, b = 11.756 Å, c = 11.756 Å, α = 90.00°, β = 90.00° and γ = 90.00°. Symmetry generates all atoms from Sm at (0.250, 0.250, 0.250), Zn at (0.000, 0.000, 0.149) and Pd at (0.000, 0.000, 0.342).

As for the density of states at the Fermi level: 57.84 states/eV/cell. Its crystal system is cubic.

---

Last place for stability: run two

---

Run one
DFT (PBE) results for an optimized crystal structure of SmZn4Pd2.

It has space group I4/mmm (No. 139), with a = 7.444 Å, b = 7.444 Å, c = 5.624 Å, α = 90.00°, β = 90.00° and γ = 90.00°. Symmetry generates all atoms from Sm at (0.000, 0.000, 0.000), Zn at (0.000, 0.233, 0.500) and Pd at (0.000, 0.500, 0.250).

As for the density of states at the Fermi level: 10.37 states/eV/cell. Its crystal system is tetragonal.

---

Run two
DFT (PBE) results for an optimized crystal structure of SmZn4Pd2.

It has space group P4_2/mnm (No. 136), with a = 7.576 Å, b = 7.576 Å, c = 4.265 Å, α = 90.00°, β = 90.00° and γ = 90.00°. Symmetry generates all atoms from Sm at (0.000, 0.000, 0.000), Zn at (0.096, 0.352, 0.500) and Pd at (0.219, 0.781, 0.500).

As for the density of states at the Fermi level: 5.60 states/eV/cell. Its crystal system is tetragonal.

---

Last place for stability: run one

---

Run one
DFT (PBE) results for an optimized crystal structure of Sm4Zn3Pd.

It has space group Pmm2 (No. 25), with a = 3.768 Å, b = 4.594 Å, c = 11.330 Å, α = 90.00°, β = 90.00° and γ = 90.00°. Symmetry generates all atoms from Sm at (0.000, 0.000, 0.000), Sm at (0.000, 0.500, 0.281), Sm at (0.500, 0.000, 0.486), Sm at (0.500, 0.500, 0.790), Zn at (0.000, 0.000, 0.708), Zn at (0.000, 0.500, 0.567), Zn at (0.500, 0.500, 0.067) and Pd at (0.500, 0.000, 0.211).

As for the density of states at the Fermi level: 8.55 states/eV/cell. Its crystal system is orthorhombic.

---

Run two
DFT (PBE) results for an optimized crystal structure of Sm4Zn3Pd.

It has space group P4/mmm (No. 123), with a = 3.652 Å, b = 3.652 Å, c = 14.300 Å, α = 90.00°, β = 90.00° and γ = 90.00°. Symmetry generates all atoms from Sm at (0.000, 0.000, 0.120), Sm at (0.000, 0.000, 0.374), Zn at (0.500, 0.500, 0.250), Zn at (0.500, 0.500, 0.500) and Pd at (0.500, 0.500, 0.000).

As for the density of states at the Fermi level: 7.08 states/eV/cell. Its crystal system is tetragonal.

---

Last place for stability: run one

---

Run one
DFT (PBE) results for an optimized crystal structure of SmZnPd6.

It has space group P4/mmm (No. 123), with a = 3.946 Å, b = 3.946 Å, c = 9.483 Å, α = 90.00°, β = 90.00° and γ = 90.00°. Symmetry generates all atoms from Sm at (0.000, 0.000, 0.000), Zn at (0.000, 0.000, 0.500), Pd at (0.000, 0.500, 0.330) and Pd at (0.500, 0.500, 0.136).

As for the density of states at the Fermi level: 6.45 states/eV/cell. Its crystal system is tetragonal.

---

Run two
DFT (PBE) results for an optimized crystal structure of SmZnPd6.

It has space group P4/mmm (No. 123), with a = 4.117 Å, b = 4.117 Å, c = 7.846 Å, α = 90.00°, β = 90.00° and γ = 90.00°. Symmetry generates all atoms from Sm at (0.000, 0.000, 0.000), Zn at (0.000, 0.000, 0.500), Pd at (0.000, 0.500, 0.270), Pd at (0.500, 0.500, 0.000) and Pd at (0.500, 0.500, 0.500).

As for the density of states at the Fermi level: 9.47 states/eV/cell. Its crystal system is tetragonal.

---

Last place for stability: run one

---

Run one
DFT (PBE) results for an optimized crystal structure of Sm3Zn4Pd4.

It has space group P-1 (No. 2), with a = 3.792 Å, b = 4.316 Å, c = 13.930 Å, α = 98.30°, β = 97.75° and γ = 90.00°. Symmetry generates all atoms from Sm at (0.000, 0.000, 0.000), Sm at (0.147, 0.641, 0.291), Zn at (0.255, 0.258, 0.508), Zn at (0.402, 0.906, 0.806), Pd at (0.308, 0.813, 0.620) and Pd at (0.452, 0.450, 0.901).

As for the density of states at the Fermi level: 6.97 states/eV/cell. Its crystal system is triclinic.

---

Run two
DFT (PBE) results for an optimized crystal structure of Sm3Zn4Pd4.

It has space group Immm (No. 71), with a = 4.136 Å, b = 7.388 Å, c = 14.285 Å, α = 90.00°, β = 90.00° and γ = 90.00°. Symmetry generates all atoms from Sm at (0.000, 0.000, 0.000), Sm at (0.000, 0.500, 0.129), Zn at (0.000, 0.305, 0.327), Pd at (0.000, 0.000, 0.217) and Pd at (0.000, 0.194, 0.500).

As for the density of states at the Fermi level: 10.63 states/eV/cell. Its crystal system is orthorhombic.

---

Last place for stability: run one

---

Run one
DFT (PBE) results for an optimized crystal structure of Sn2Pd5.

It has space group Ibam (No. 72), with a = 6.606 Å, b = 12.647 Å, c = 5.771 Å, α = 90.00°, β = 90.00° and γ = 90.00°. Symmetry generates all atoms from Sn at (0.219, 0.118, 0.000), Pd at (0.000, 0.270, 0.250), Pd at (0.000, 0.500, 0.250) and Pd at (0.189, 0.101, 0.500).

As for the density of states at the Fermi level: 10.18 states/eV/cell. Its crystal system is orthorhombic.

---

Run two
DFT (PBE) results for an optimized crystal structure of Sn2Pd5.

It has space group Cccm (No. 66), with a = 6.603 Å, b = 12.719 Å, c = 5.757 Å, α = 90.00°, β = 90.00° and γ = 90.00°. Symmetry generates all atoms from Sn at (0.215, 0.110, 0.000), Pd at (0.000, 0.272, 0.250), Pd at (0.000, 0.500, 0.250) and Pd at (0.194, 0.110, 0.500).

As for the density of states at the Fermi level: 10.68 states/eV/cell. Its crystal system is orthorhombic.

---

Last place for stability: run two

---

Run one
DFT (PBE) results for an optimized crystal structure of SrSn4Pd6.

It has space group P-6m2 (No. 187), with a = 7.7310 Å, b = 7.7310 Å, c = 4.2685 Å, α = 90.00°, β = 90.00° and γ = 120.00°. Symmetry generates all atoms from Sr at (0.0000, 0.0000, 0.0000), Sn at (0.3333, 0.6667, 0.0000), Sn at (0.3878, 0.1939, 0.5000), Pd at (0.2044, 0.4088, 0.5000) and Pd at (0.5371, 0.0742, 0.0000).

As for the density of states at the Fermi level: 3.93 states/eV/cell. Its crystal system is hexagonal.

---

Run two
DFT (PBE) results for an optimized crystal structure of SrSn4Pd6.

It has space group I-42m (No. 121), with a = 7.052 Å, b = 7.052 Å, c = 9.699 Å, α = 90.00°, β = 90.00° and γ = 90.00°. Symmetry generates all atoms from Sr at (0.000, 0.000, 0.000), Sn at (0.205, 0.205, 0.673), Pd at (0.000, 0.500, 0.000) and Pd at (0.157, 0.157, 0.398).

As for the density of states at the Fermi level: 11.54 states/eV/cell. Its crystal system is tetragonal.

---

Last place for stability: run two